(1)
{"formula": "Ga2AgTe3", "functional": "PBE", "state": "optimized geometry", "lattice": [[4.857, 0.000, 0.000], [0.000, 7.627, 0.115], [-2.429, -1.686, 10.468]], "species": ["Te", "Te", "Ga", "Te", "Ga", "Ag", "Ga", "Te", "Ag", "Te", "Te", "Ga"], "fractional_positions": [[0.079, 0.875, 0.159], [0.422, 0.623, 0.845], [0.295, 0.617, 0.590], [0.921, 0.125, 0.841], [0.050, 0.209, 0.100], [0.622, 0.764, 0.245], [0.705, 0.383, 0.410], [0.578, 0.377, 0.155], [0.378, 0.236, 0.755], [0.243, 0.260, 0.486], [0.757, 0.740, 0.514], [0.950, 0.791, 0.900]], "raw_formation_energy_kj_per_mol_fu": -122, "spacegroup": "C2/m, No. 12", "magnetic_moment_mub_per_fu": 0.0, "volume_a3_per_atom": 32.4}

(2)
{"formula": "BiRhO2F", "functional": "PBE", "state": "optimized geometry", "lattice": [[-2.170, -3.245, -1.173], [1.685, 0.212, -3.705], [3.029, -2.472, 1.237]], "species": ["O", "O", "F", "Rh", "Bi"], "fractional_positions": [[0.500, 0.000, 0.000], [0.000, 0.500, 0.000], [0.000, 0.000, 0.500], [0.000, 0.000, 0.000], [0.500, 0.500, 0.500]], "raw_formation_energy_kj_per_mol_fu": -312, "spacegroup": "P4/mmm, No. 123", "magnetic_moment_mub_per_fu": 0.0, "volume_a3_per_atom": 13.6}

(3)
{"formula": "TlFeBi2", "functional": "PBE", "state": "optimized geometry", "lattice": [[6.648, 0.000, 0.000], [0.000, 6.648, 0.000], [3.324, 3.324, 6.195]], "species": ["Bi", "Fe", "Bi", "Tl", "Fe", "Bi", "Bi", "Tl"], "fractional_positions": [[0.527, 0.125, 0.250], [0.500, 0.500, 0.000], [0.223, 0.625, 0.250], [0.000, 0.000, 0.000], [0.250, 0.750, 0.500], [0.875, 0.777, 0.750], [0.375, 0.473, 0.750], [0.750, 0.250, 0.500]], "e_form_ev_per_atom": 0.55, "spacegroup": "I-42d, No. 122", "magnetic_moment_mub_per_fu": 0.0, "volume_a3_per_atom": 34.2}